No. 1
VASP calculation (GGA-PBE) on an optimized crystal structure of Ho3InHg.

Cell: 5.115 20.865 5.114 Å, 90.00 90.00 90.00°
Space group Cmcm (No. 63)
One atom of each set of equivalent atoms:
1 Ho 0.000 0.059 0.250
2 Ho 0.000 0.250 0.250
3 Ho 0.000 0.440 0.250
4 In 0.000 0.156 0.750
5 Hg 0.000 0.346 0.750

Calculated values
Energy of formation from the pure elements, eV/atom: -0.355
Energy above the most stable polymorph in this dataset, eV/atom: 0.0000
Calculated volume, Å³ per atom: 27.3

=====

No. 2
VASP calculation (GGA-PBE) on an optimized crystal structure of Ho2In3Hg2.

Cell: 11.050 4.592 7.025 Å, 90.00 96.01 90.00°
Space group C2/m (No. 12)
One atom of each set of equivalent atoms:
1 Ho 0.104 0.000 0.308
2 In 0.000 0.500 0.000
3 In 0.203 0.000 0.854
4 Hg 0.116 0.500 0.614

Calculated values
Energy of formation from the pure elements, eV/atom: -0.317
Calculated volume, Å³ per atom: 25.3